VASP calculation (GGA-PBE) on an optimized crystal structure of TlFe4Pt.

a = 4.953 Å, b = 4.953 Å, c = 4.953 Å
α = 60.00°, β = 60.00°, γ = 60.00°
Fractional positions:
Tl: 0.000 0.000 0.000
Fe: 0.125 0.625 0.625
Fe: 0.625 0.125 0.625
Fe: 0.625 0.625 0.125
Fe: 0.625 0.625 0.625
Pt: 0.250 0.250 0.250

Values from the calculation:
**Mass density**: 12.0 Mg/m³
**Symmetry**: F-43m (216)
**M_tot**: 10.9 Bohr magnetons per cell
**ΔE_f**: 0.19 eV/atom
**Total energy**: -6.85 eV per atom

VASP calculation (GGA-PBE) on an optimized crystal structure of Ag2MoCl.

a = 5.195 Å, b = 5.195 Å, c = 2.841 Å
α = 90.00°, β = 90.00°, γ = 90.00°
Fractional positions:
Ag: 0.000 0.500 0.000
Ag: 0.500 0.000 0.000
Mo: 0.000 0.000 0.500
Cl: 0.500 0.500 0.500

Values from the calculation:
**Mass density**: 7.5 Mg/m³
**Symmetry**: P4/mmm (123)
**M_tot**: 2.2 Bohr magnetons per cell
**Formation energy (no corrections)**: 0.86 eV per atom
**Total energy**: -3.73 eV per atom

VASP calculation (GGA-PBE) on an optimized crystal structure of ScPaI.

a = 3.686 Å, b = 3.686 Å, c = 12.459 Å
α = 90.26°, β = 90.26°, γ = 90.00°
Fractional positions:
Sc: 0.246 0.246 0.279
Sc: 0.754 0.754 0.721
Pa: 0.251 0.251 0.563
Pa: 0.749 0.749 0.437
I: 0.256 0.256 0.847
I: 0.744 0.744 0.153

Values from the calculation:
**Mass density**: 7.9 Mg/m³
**Symmetry**: C2/m (12)
**M_tot**: 0.0 Bohr magnetons per cell
**Formation energy (no corrections)**: -0.44 eV per atom
**Total energy**: -6.23 eV per atom

VASP calculation (GGA-PBE) on an optimized crystal structure of PaNi5Pt.

a = 7.908 Å, b = 4.781 Å, c = 10.121 Å
α = 90.00°, β = 90.00°, γ = 90.00°
Fractional positions:
Pa: 0.243 0.250 0.062
Pa: 0.257 0.750 0.562
Pa: 0.743 0.250 0.438
Pa: 0.757 0.750 0.938
Ni: 0.039 0.750 0.101
Ni: 0.064 0.003 0.311
Ni: 0.064 0.497 0.311
Ni: 0.091 0.250 0.518
Ni: 0.193 0.250 0.741
Ni: 0.307 0.750 0.241
Ni: 0.409 0.750 0.018
Ni: 0.436 0.503 0.811
Ni: 0.436 0.997 0.811
Ni: 0.461 0.250 0.601
Ni: 0.539 0.750 0.399
Ni: 0.564 0.003 0.189
Ni: 0.564 0.497 0.189
Ni: 0.591 0.250 0.982
Ni: 0.693 0.250 0.759
Ni: 0.807 0.750 0.259
Ni: 0.909 0.750 0.482
Ni: 0.936 0.503 0.689
Ni: 0.936 0.997 0.689
Ni: 0.961 0.250 0.899
Pt: 0.144 0.750 0.861
Pt: 0.356 0.250 0.361
Pt: 0.644 0.750 0.639
Pt: 0.856 0.250 0.139

Values from the calculation:
**Mass density**: 12.5 Mg/m³
**Symmetry**: Pnma (62)
**M_tot**: 0.0 Bohr magnetons per cell
**ΔE_f**: -0.39 eV/atom
**Total energy**: -6.74 eV per atom

VASP calculation (GGA-PBE) on an optimized crystal structure of La6TbSm2Th.

a = 6.758 Å, b = 6.758 Å, c = 9.282 Å
α = 105.87°, β = 105.87°, γ = 62.03°
Fractional positions:
La: 0.067 0.540 0.194
La: 0.126 0.126 0.415
La: 0.460 0.933 0.806
La: 0.540 0.067 0.194
La: 0.874 0.874 0.585
La: 0.933 0.460 0.806
Tb: 0.500 0.500 0.500
Sm: 0.429 0.429 0.826
Sm: 0.571 0.571 0.174
Th: 0.000 0.000 0.000

Values from the calculation:
**Mass density**: 7.1 Mg/m³
**Symmetry**: C2/m (12)
**M_tot**: 0.0 Bohr magnetons per cell
**ΔE_f**: 0.19 eV/atom
**Total energy**: -4.91 eV per atom

VASP calculation (GGA-PBE) on an optimized crystal structure of BaCd10In.

a = 4.951 Å, b = 6.148 Å, c = 10.448 Å
α = 90.00°, β = 90.00°, γ = 90.00°
Fractional positions:
Ba: 0.000 0.000 0.000
Cd: 0.000 0.000 0.347
Cd: 0.000 0.000 0.653
Cd: 0.000 0.500 0.195
Cd: 0.000 0.500 0.805
Cd: 0.500 0.000 0.500
Cd: 0.500 0.241 0.242
Cd: 0.500 0.241 0.758
Cd: 0.500 0.500 0.000
Cd: 0.500 0.759 0.242
Cd: 0.500 0.759 0.758
In: 0.000 0.500 0.500

Values from the calculation:
**Mass density**: 7.2 Mg/m³
**Symmetry**: Pmmm (47)
**M_tot**: 0.0 Bohr magnetons per cell
**ΔE_f**: -0.08 eV/atom
**Total energy**: -1.23 eV per atom

VASP calculation (GGA-PBE) on an optimized crystal structure of Be2CuTc.

a = 7.843 Å, b = 7.843 Å, c = 7.843 Å
α = 19.18°, β = 19.18°, γ = 19.18°
Fractional positions:
Be: 0.247 0.247 0.247
Be: 0.753 0.753 0.753
Cu: 0.500 0.500 0.500
Tc: 0.000 0.000 0.000

Values from the calculation:
**Mass density**: 6.5 Mg/m³
**Symmetry**: R-3m (166)
**M_tot**: 0.0 Bohr magnetons per cell
**ΔE_f**: 0.09 eV/atom
**Total energy**: -5.39 eV per atom

VASP calculation (GGA-PBE) on an optimized crystal structure of SrTa2Mo.

a = 10.071 Å, b = 10.071 Å, c = 10.071 Å
α = 18.22°, β = 18.22°, γ = 18.22°
Fractional positions:
Sr: 0.000 0.000 0.000
Ta: 0.233 0.233 0.233
Ta: 0.767 0.767 0.767
Mo: 0.500 0.500 0.500

Values from the calculation:
**Mass density**: 10.4 Mg/m³
**Symmetry**: R-3m (166)
**M_tot**: 0.0 Bohr magnetons per cell
**ΔE_f**: 0.71 eV/atom
**Total energy**: -8.35 eV per atom

VASP calculation (GGA-PBE) on an optimized crystal structure of CaBPd3.

a = 5.308 Å, b = 5.750 Å, c = 5.316 Å
α = 90.00°, β = 95.66°, γ = 90.00°
Fractional positions:
Ca: 0.138 0.250 0.205
Ca: 0.862 0.750 0.795
B: 0.383 0.750 0.040
B: 0.617 0.250 0.960
Pd: 0.141 0.750 0.322
Pd: 0.371 0.005 0.746
Pd: 0.371 0.495 0.746
Pd: 0.629 0.505 0.254
Pd: 0.629 0.995 0.254
Pd: 0.859 0.250 0.678

Values from the calculation:
**Mass density**: 7.6 Mg/m³
**Symmetry**: P2_1/m (11)
**M_tot**: 0.0 Bohr magnetons per cell
**ΔE_f**: -0.50 eV/atom
**Total energy**: -5.36 eV per atom

VASP calculation (GGA-PBE) on an optimized crystal structure of La3BiBr3.

a = 10.910 Å, b = 10.910 Å, c = 10.910 Å
α = 109.47°, β = 109.47°, γ = 109.47°
Fractional positions:
La: 0.000 0.000 0.250
La: 0.000 0.250 0.000
La: 0.000 0.500 0.750
La: 0.250 0.000 0.000
La: 0.250 0.250 0.750
La: 0.250 0.500 0.500
La: 0.250 0.750 0.250
La: 0.500 0.250 0.500
La: 0.500 0.500 0.250
La: 0.500 0.750 0.000
La: 0.750 0.000 0.500
La: 0.750 0.250 0.250
Bi: 0.000 0.250 0.500
Bi: 0.250 0.250 0.250
Bi: 0.250 0.500 0.000
Bi: 0.500 0.000 0.250
Br: 0.250 0.753 0.747
Br: 0.250 0.997 0.503
Br: 0.503 0.250 0.997
Br: 0.503 0.753 0.507
Br: 0.507 0.503 0.753
Br: 0.747 0.250 0.753
Br: 0.747 0.997 0.993
Br: 0.753 0.507 0.503
Br: 0.753 0.747 0.250
Br: 0.993 0.747 0.997
Br: 0.997 0.503 0.250
Br: 0.997 0.993 0.747

Values from the calculation:
**Mass density**: 5.8 Mg/m³
**Symmetry**: I4_132 (214)
**M_tot**: 0.0 Bohr magnetons per cell
**Formation energy (no corrections)**: -1.43 eV per atom
**Total energy**: -4.81 eV per atom

VASP calculation (GGA-PBE) on an optimized crystal structure of SrPAu.

a = 5.216 Å, b = 5.216 Å, c = 5.216 Å
α = 131.54°, β = 131.54°, γ = 70.96°
Fractional positions:
Sr: 0.000 0.000 0.000
P: 0.354 0.354 0.000
Au: 0.635 0.635 0.000

Values from the calculation:
**Mass density**: 6.7 Mg/m³
**Symmetry**: I4mm (107)
**M_tot**: 0.0 Bohr magnetons per cell
**ΔE_f**: -0.38 eV/atom
**Total energy**: -3.84 eV per atom

VASP calculation (GGA-PBE) on an optimized crystal structure of TiMn2ReMo.

a = 4.392 Å, b = 4.392 Å, c = 4.738 Å
α = 90.00°, β = 90.00°, γ = 90.00°
Fractional positions:
Ti: 0.000 0.000 0.000
Mn: 0.000 0.500 0.500
Mn: 0.500 0.000 0.500
Re: 0.500 0.500 0.500
Mo: 0.500 0.500 0.000

Values from the calculation:
**Mass density**: 8.0 Mg/m³
**Symmetry**: P4/mmm (123)
**M_tot**: 0.0 Bohr magnetons per cell
**ΔE_f**: 1.40 eV/atom
**Total energy**: -8.50 eV per atom

VASP calculation (GGA-PBE) on an optimized crystal structure of Li12P3H5.

a = 11.028 Å, b = 11.028 Å, c = 11.028 Å
α = 109.47°, β = 109.47°, γ = 109.47°
Fractional positions:
Li: 0.023 0.208 0.120
Li: 0.023 0.315 0.903
Li: 0.087 0.708 0.685
Li: 0.087 0.880 0.403
Li: 0.097 0.620 0.413
Li: 0.097 0.977 0.685
Li: 0.120 0.023 0.208
Li: 0.120 0.597 0.913
Li: 0.185 0.208 0.587
Li: 0.185 0.477 0.597
Li: 0.208 0.120 0.023
Li: 0.208 0.587 0.185
Li: 0.292 0.315 0.913
Li: 0.292 0.477 0.380
Li: 0.315 0.903 0.023
Li: 0.315 0.913 0.292
Li: 0.380 0.292 0.477
Li: 0.380 0.587 0.903
Li: 0.403 0.087 0.880
Li: 0.403 0.815 0.523
Li: 0.413 0.097 0.620
Li: 0.413 0.815 0.792
Li: 0.477 0.380 0.292
Li: 0.477 0.597 0.185
Li: 0.523 0.403 0.815
Li: 0.523 0.620 0.708
Li: 0.587 0.185 0.208
Li: 0.587 0.903 0.380
Li: 0.597 0.185 0.477
Li: 0.597 0.913 0.120
Li: 0.620 0.413 0.097
Li: 0.620 0.708 0.523
Li: 0.685 0.087 0.708
Li: 0.685 0.097 0.977
Li: 0.708 0.523 0.620
Li: 0.708 0.685 0.087
Li: 0.792 0.413 0.815
Li: 0.792 0.880 0.977
Li: 0.815 0.523 0.403
Li: 0.815 0.792 0.413
Li: 0.880 0.403 0.087
Li: 0.880 0.977 0.792
Li: 0.903 0.023 0.315
Li: 0.903 0.380 0.587
Li: 0.913 0.120 0.597
Li: 0.913 0.292 0.315
Li: 0.977 0.685 0.097
Li: 0.977 0.792 0.880
P: 0.125 0.250 0.375
P: 0.125 0.375 0.750
P: 0.250 0.375 0.125
P: 0.250 0.875 0.625
P: 0.375 0.125 0.250
P: 0.375 0.750 0.125
P: 0.625 0.250 0.875
P: 0.625 0.875 0.750
P: 0.750 0.125 0.375
P: 0.750 0.625 0.875
P: 0.875 0.625 0.250
P: 0.875 0.750 0.625
H: 0.000 0.000 0.000
H: 0.000 0.000 0.500
H: 0.000 0.500 0.000
H: 0.000 0.500 0.500
H: 0.125 0.750 0.875
H: 0.125 0.875 0.250
H: 0.250 0.125 0.875
H: 0.250 0.625 0.375
H: 0.375 0.250 0.625
H: 0.375 0.625 0.750
H: 0.500 0.000 0.000
H: 0.500 0.000 0.500
H: 0.500 0.500 0.000
H: 0.500 0.500 0.500
H: 0.625 0.375 0.250
H: 0.625 0.750 0.375
H: 0.750 0.375 0.625
H: 0.750 0.875 0.125
H: 0.875 0.125 0.750
H: 0.875 0.250 0.125

Values from the calculation:
**Mass density**: 1.2 Mg/m³
**Symmetry**: Ia-3d (230)
**M_tot**: 0.0 Bohr magnetons per cell
**Total energy**: -3.20 eV per atom

VASP calculation (GGA-PBE) on an optimized crystal structure of CdMoS2N.

a = 4.579 Å, b = 4.579 Å, c = 5.598 Å
α = 90.00°, β = 90.00°, γ = 90.00°
Fractional positions:
Cd: 0.000 0.000 0.000
Mo: 0.000 0.000 0.500
S: 0.000 0.500 0.500
S: 0.500 0.000 0.500
N: 0.500 0.500 0.000

Values from the calculation:
**Mass density**: 4.1 Mg/m³
**Symmetry**: P4/mmm (123)
**M_tot**: 2.8 Bohr magnetons per cell
**Formation energy (no corrections)**: 0.97 eV per atom
**Total energy**: -4.69 eV per atom

VASP calculation (GGA-PBE) on an optimized crystal structure of NdPd3.

a = 5.150 Å, b = 5.150 Å, c = 5.150 Å
α = 131.30°, β = 131.30°, γ = 71.33°
Fractional positions:
Nd: 0.000 0.000 0.000
Pd: 0.250 0.750 0.500
Pd: 0.500 0.500 0.000
Pd: 0.750 0.250 0.500

Values from the calculation:
**Mass density**: 10.2 Mg/m³
**Symmetry**: I4/mmm (139)
**M_tot**: 0.0 Bohr magnetons per cell
**ΔE_f**: -0.67 eV/atom
**Total energy**: -5.76 eV per atom

VASP calculation (GGA-PBE) on an optimized crystal structure of ReN2.

a = 4.245 Å, b = 2.890 Å, c = 5.103 Å
α = 90.00°, β = 113.10°, γ = 90.00°
Fractional positions:
Re: 0.206 0.250 0.217
Re: 0.794 0.750 0.783
N: 0.155 0.250 0.796
N: 0.389 0.250 0.671
N: 0.611 0.750 0.329
N: 0.845 0.750 0.204

Values from the calculation:
**Mass density**: 12.4 Mg/m³
**Symmetry**: P2_1/m (11)
**M_tot**: 0.0 Bohr magnetons per cell
**Formation energy (no corrections)**: 0.20 eV per atom
**Total energy**: -9.50 eV per atom

VASP calculation (GGA-PBE) on an optimized crystal structure of TaCoW2.

a = 5.047 Å, b = 5.047 Å, c = 5.047 Å
α = 135.64°, β = 135.64°, γ = 64.53°
Fractional positions:
Ta: 0.000 0.000 0.000
Co: 0.500 0.500 0.000
W: 0.250 0.750 0.500
W: 0.750 0.250 0.500

Values from the calculation:
**Mass density**: 16.3 Mg/m³
**Symmetry**: I4/mmm (139)
**M_tot**: 0.1 Bohr magnetons per cell
**ΔE_f**: 0.22 eV/atom
**Total energy**: -11.00 eV per atom

VASP calculation (GGA-PBE) on an optimized crystal structure of BaSrCuNi2.

a = 4.945 Å, b = 4.945 Å, c = 6.624 Å
α = 90.00°, β = 90.00°, γ = 90.00°
Fractional positions:
Ba: 0.000 0.000 0.000
Sr: 0.000 0.000 0.500
Cu: 0.500 0.500 0.500
Ni: 0.000 0.500 0.000
Ni: 0.500 0.000 0.000

Values from the calculation:
**Mass density**: 4.2 Mg/m³
**Symmetry**: P4/mmm (123)
**M_tot**: 0.0 Bohr magnetons per cell
**ΔE_f**: 1.49 eV/atom
**Total energy**: -2.37 eV per atom

VASP calculation (GGA-PBE) on an optimized crystal structure of RbScAgP2.

a = 5.020 Å, b = 5.020 Å, c = 5.283 Å
α = 90.00°, β = 90.00°, γ = 90.00°
Fractional positions:
Rb: 0.000 0.000 0.000
Sc: 0.500 0.500 0.000
Ag: 0.000 0.000 0.500
P: 0.000 0.500 0.500
P: 0.500 0.000 0.500

Values from the calculation:
**Mass density**: 3.7 Mg/m³
**Symmetry**: P4/mmm (123)
**M_tot**: 0.7 Bohr magnetons per cell
**ΔE_f**: 0.74 eV/atom
**Total energy**: -3.46 eV per atom

VASP calculation (GGA-PBE) on an optimized crystal structure of Ta2Be9Cr.

a = 7.377 Å, b = 7.377 Å, c = 7.377 Å
α = 35.37°, β = 35.37°, γ = 35.37°
Fractional positions:
Ta: 0.140 0.140 0.140
Ta: 0.860 0.860 0.860
Be: 0.076 0.583 0.583
Be: 0.334 0.334 0.334
Be: 0.417 0.417 0.924
Be: 0.417 0.924 0.417
Be: 0.500 0.500 0.500
Be: 0.583 0.076 0.583
Be: 0.583 0.583 0.076
Be: 0.666 0.666 0.666
Be: 0.924 0.417 0.417
Cr: 0.000 0.000 0.000

Values from the calculation:
**Mass density**: 6.8 Mg/m³
**Symmetry**: R-3m (166)
**M_tot**: 0.1 Bohr magnetons per cell
**ΔE_f**: -0.13 eV/atom
**Total energy**: -5.70 eV per atom